Entry 1:
SmGaSnCl6, optimized geometry, DFT GGA-PBE; size of the total moment = 0.000 μB/f.u.; ΔE_f (raw) = -1492 meV per atom
1.0
6.744 0.000 0.000
0.000 6.744 0.000
0.000 0.000 12.897
Sm Ga Sn Cl
2 2 2 12
Direct
0.000 0.000 0.000
0.500 0.500 0.500
0.000 0.000 0.668
0.500 0.500 0.168
0.000 0.000 0.334
0.500 0.500 0.834
0.185 0.185 0.162
0.198 0.198 0.847
0.215 0.215 0.494
0.285 0.715 0.994
0.302 0.698 0.347
0.315 0.685 0.662
0.685 0.315 0.662
0.698 0.302 0.347
0.715 0.285 0.994
0.785 0.785 0.494
0.802 0.802 0.847
0.815 0.815 0.162

***

Entry 2:
YLuGaTc, optimized geometry, DFT GGA-PBE; size of the total moment = 0.000 μB/f.u.; electronic total energy = -6.364 eV/atom
1.0
6.936 0.000 0.000
0.000 6.936 0.000
0.000 0.000 6.936
Y Lu Ga Tc
4 4 4 4
Direct
0.000 0.000 0.000
0.000 0.500 0.500
0.500 0.000 0.500
0.500 0.500 0.000
0.000 0.000 0.500
0.000 0.500 0.000
0.500 0.000 0.000
0.500 0.500 0.500
0.250 0.250 0.250
0.250 0.750 0.750
0.750 0.250 0.750
0.750 0.750 0.250
0.250 0.250 0.750
0.250 0.750 0.250
0.750 0.250 0.250
0.750 0.750 0.750

***

Entry 3:
KCu2Br, optimized geometry, DFT GGA-PBE; E above lowest polymorph = 25 meV per atom; size of the total moment = 0.000 μB/f.u.; ΔE_f (raw) = -126 meV per atom
1.0
3.604 0.000 0.000
0.000 3.604 0.000
0.000 0.000 7.487
K Cu Br
1 2 1
Direct
0.000 0.000 0.000
0.000 0.000 0.586
0.500 0.500 0.583
0.500 0.500 0.244

***

Entry 4:
Y5Ag3, optimized geometry, DFT GGA-PBE; E above lowest polymorph = 35 meV per atom; size of the total moment = 0.000 μB/f.u.
1.0
-3.739 3.739 7.743
3.739 -3.739 7.743
3.739 3.739 -7.743
Y Ag
10 6
Direct
0.000 0.000 0.000
0.013 0.513 0.830
0.182 0.013 0.500
0.318 0.818 0.830
0.487 0.318 0.500
0.500 0.500 0.000
0.513 0.682 0.500
0.682 0.182 0.170
0.818 0.987 0.500
0.987 0.487 0.170
0.131 0.369 0.500
0.250 0.250 0.000
0.369 0.869 0.237
0.631 0.131 0.763
0.750 0.750 0.000
0.869 0.631 0.500

***

Entry 5:
YTl2Au, optimized geometry, DFT GGA-PBE; E above lowest polymorph = 3 meV per atom; size of the total moment = 0.000 μB/f.u.
1.0
3.800 0.000 0.000
0.000 3.800 0.000
0.000 0.000 7.257
Y Tl Au
1 2 1
Direct
0.000 0.000 0.000
0.000 0.000 0.449
0.500 0.500 0.723
0.500 0.500 0.191

***

Entry 6:
Sm6TlNi2, optimized geometry, DFT GGA-PBE; size of the total moment = 0.000 μB/f.u.; electronic total energy = -4.956 eV/atom
1.0
-4.715 5.025 5.192
4.715 -5.025 5.192
4.715 5.025 -5.192
Sm Tl Ni
12 2 4
Direct
0.026 0.230 0.796
0.183 0.295 0.478
0.183 0.705 0.889
0.323 0.014 0.691
0.323 0.632 0.309
0.434 0.230 0.204
0.566 0.770 0.796
0.677 0.368 0.691
0.677 0.986 0.309
0.817 0.295 0.111
0.817 0.705 0.522
0.974 0.770 0.204
0.000 0.000 0.000
0.500 0.500 0.000
0.121 0.621 0.500
0.360 0.000 0.360
0.640 0.000 0.640
0.879 0.379 0.500

***

Entry 7:
Nd6BiAs4, optimized geometry, DFT GGA-PBE; size of the total moment = 0.616 μB/f.u.; electronic total energy = -5.941 eV/atom
1.0
2.161 -7.026 0.000
2.161 7.026 0.000
0.000 0.000 21.658
Nd Bi As
12 2 8
Direct
0.000 0.000 0.000
0.000 0.000 0.500
0.168 0.832 0.750
0.272 0.728 0.082
0.272 0.728 0.418
0.460 0.540 0.659
0.460 0.540 0.841
0.540 0.460 0.159
0.540 0.460 0.341
0.728 0.272 0.582
0.728 0.272 0.918
0.832 0.168 0.250
0.162 0.838 0.250
0.838 0.162 0.750
0.092 0.908 0.625
0.092 0.908 0.875
0.363 0.637 0.542
0.363 0.637 0.958
0.637 0.363 0.042
0.637 0.363 0.458
0.908 0.092 0.125
0.908 0.092 0.375

***

Entry 8:
Co2TcHgN, optimized geometry, DFT GGA-PBE; size of the total moment = 2.445 μB/f.u.; ΔE_f (raw) = 187 meV per atom
1.0
3.956 0.000 0.000
0.000 3.956 0.000
0.000 0.000 4.006
Co Tc Hg N
2 1 1 1
Direct
0.000 0.500 0.000
0.500 0.000 0.000
0.000 0.000 0.500
0.500 0.500 0.500
0.000 0.000 0.000

***

Entry 9:
DyHfGa3, optimized geometry, DFT GGA-PBE; size of the total moment = 0.000 μB/f.u.; electronic total energy = -5.282 eV/atom
1.0
1.985 -12.495 0.000
1.985 12.495 0.000
0.000 0.000 4.035
Dy Hf Ga
2 2 6
Direct
0.076 0.924 0.750
0.924 0.076 0.250
0.207 0.793 0.250
0.793 0.207 0.750
0.317 0.683 0.250
0.376 0.624 0.750
0.474 0.526 0.750
0.526 0.474 0.250
0.624 0.376 0.250
0.683 0.317 0.750

***

Entry 10:
Li2CoPt, optimized geometry, DFT GGA-PBE; E above lowest polymorph = 116 meV per atom; size of the total moment = 1.678 μB/f.u.
1.0
2.647 0.000 0.000
0.000 4.025 0.000
0.000 0.000 5.006
Li Co Pt
2 1 1
Direct
0.000 0.000 0.246
0.000 0.000 0.754
0.500 0.500 0.500
0.500 0.500 0.000

***

Entry 11:
HfTeC3, optimized geometry, DFT GGA-PBE; E above lowest polymorph = 0 meV per atom; size of the total moment = 0.000 μB/f.u.; ΔE_f (raw) = 2085 meV per atom
1.0
4.356 0.000 0.000
0.000 4.356 0.000
0.000 0.000 4.356
Hf Te C
1 1 3
Direct
0.000 0.000 0.000
0.500 0.500 0.500
0.000 0.000 0.500
0.000 0.500 0.000
0.500 0.000 0.000

***

Entry 12:
TbDyMgAg, optimized geometry, DFT GGA-PBE; E above lowest polymorph = 43 meV per atom; size of the total moment = 0.000 μB/f.u.
1.0
7.426 0.000 0.000
0.000 7.426 0.000
0.000 0.000 7.426
Tb Dy Mg Ag
4 4 4 4
Direct
0.000 0.000 0.000
0.000 0.500 0.500
0.500 0.000 0.500
0.500 0.500 0.000
0.000 0.000 0.500
0.000 0.500 0.000
0.500 0.000 0.000
0.500 0.500 0.500
0.250 0.250 0.750
0.250 0.750 0.250
0.750 0.250 0.250
0.750 0.750 0.750
0.250 0.250 0.250
0.250 0.750 0.750
0.750 0.250 0.750
0.750 0.750 0.250

***

Entry 13:
FeTcRu2, optimized geometry, DFT GGA-PBE; E above lowest polymorph = 136 meV per atom; size of the total moment = 3.086 μB/f.u.
1.0
2.869 0.000 0.000
0.000 4.348 0.000
0.000 0.000 8.822
Fe Tc Ru
2 2 4
Direct
0.000 0.000 0.000
0.500 0.500 0.500
0.000 0.000 0.500
0.500 0.500 0.000
0.000 0.500 0.273
0.000 0.500 0.727
0.500 0.000 0.227
0.500 0.000 0.773

***

Entry 14:
SmDy2Sc, optimized geometry, DFT GGA-PBE; E above lowest polymorph = 0 meV per atom; size of the total moment = 0.000 μB/f.u.
1.0
6.103 0.000 0.000
0.000 3.523 0.000
-2.033 0.000 11.269
Sm Dy Sc
2 4 2
Direct
0.000 0.000 0.000
0.500 0.500 0.000
0.077 0.500 0.737
0.419 0.000 0.261
0.577 0.000 0.737
0.919 0.500 0.261
0.165 0.000 0.498
0.665 0.500 0.498

***

Entry 15:
Ce3Zn3Ag8, optimized geometry, DFT GGA-PBE; size of the total moment = 3.196 μB/f.u.; electronic total energy = -3.302 eV/atom
1.0
-2.339 4.848 6.534
2.339 -4.848 6.534
2.339 4.848 -6.534
Ce Zn Ag
3 3 8
Direct
0.000 0.000 0.000
0.298 0.298 0.000
0.702 0.702 0.000
0.318 0.500 0.818
0.500 0.000 0.500
0.682 0.500 0.182
0.019 0.661 0.358
0.166 0.876 0.290
0.303 0.661 0.642
0.414 0.124 0.290
0.586 0.876 0.710
0.697 0.339 0.358
0.834 0.124 0.710
0.981 0.339 0.642

***

Entry 16:
Ge3AsIr, optimized geometry, DFT GGA-PBE; E above lowest polymorph = 0 meV per atom; size of the total moment = 0.000 μB/f.u.
1.0
6.920 0.000 0.000
0.000 5.730 0.000
-6.814 0.000 9.517
Ge As Ir
12 4 4
Direct
0.016 0.096 0.192
0.016 0.404 0.692
0.105 0.241 0.485
0.105 0.259 0.985
0.464 0.686 0.143
0.464 0.814 0.643
0.536 0.186 0.357
0.536 0.314 0.857
0.895 0.741 0.015
0.895 0.759 0.515
0.984 0.596 0.308
0.984 0.904 0.808
0.438 0.725 0.910
0.438 0.775 0.410
0.562 0.225 0.590
0.562 0.275 0.090
0.212 0.022 0.708
0.212 0.478 0.208
0.788 0.522 0.792
0.788 0.978 0.292

***

Entry 17:
ZrPaPb2, optimized geometry, DFT GGA-PBE; E above lowest polymorph = 11 meV per atom; size of the total moment = 0.809 μB/f.u.
1.0
4.838 0.000 0.000
0.000 4.838 0.000
0.000 0.000 4.435
Zr Pa Pb
1 1 2
Direct
0.000 0.000 0.000
0.500 0.500 0.000
0.000 0.500 0.500
0.500 0.000 0.500

***

Entry 18:
ZnAgP2Cl, optimized geometry, DFT GGA-PBE; E above lowest polymorph = 0 meV per atom; size of the total moment = 1.560 μB/f.u.; ΔE_f (raw) = 672 meV per atom
1.0
4.625 0.000 0.000
0.000 4.625 0.000
0.000 0.000 5.231
Zn Ag P Cl
1 1 2 1
Direct
0.000 0.000 0.000
0.500 0.500 0.500
0.000 0.500 0.000
0.500 0.000 0.000
0.000 0.000 0.500

***

Entry 19:
NpCd2GeO8, optimized geometry, DFT GGA-PBE; size of the total moment = 0.893 μB/f.u.; ΔE_f (raw) = -1527 meV per atom
1.0
4.986 0.000 0.000
0.000 6.497 0.000
-0.245 0.000 4.996
Np Cd Ge O
1 2 1 8
Direct
0.000 0.000 0.000
0.500 0.264 0.500
0.500 0.736 0.500
0.000 0.500 0.000
0.179 0.256 0.827
0.179 0.744 0.827
0.260 0.500 0.266
0.279 0.000 0.285
0.721 0.000 0.715
0.740 0.500 0.734
0.821 0.256 0.173
0.821 0.744 0.173

***

Entry 20:
BaTiSi, optimized geometry, DFT GGA-PBE; size of the total moment = 0.826 μB/f.u.; ΔE_f (raw) = -358 meV per atom
1.0
4.299 0.000 0.000
0.000 4.299 0.000
0.000 0.000 10.091
Ba Ti Si
2 2 2
Direct
0.250 0.250 0.199
0.750 0.750 0.801
0.250 0.750 0.500
0.750 0.250 0.500
0.250 0.250 0.644
0.750 0.750 0.356